DFT (GGA-PBE) results for a geometry-optimized TbYGe2 structure.

POSCAR file:
```
TbYGe2
1.0
3.277 0.000 0.000
0.000 2.921 5.754
0.000 -2.921 5.754
Tb Y Ge
1 1 2
direct
0.000 0.000 0.000
0.000 0.699 0.699
0.000 0.243 0.243
0.000 0.456 0.456
```

* final energy: -20.2 eV for the cell shown